# 1
Entry from the Alexandria database: a relaxed Nd4YS4 crystal (GGA-PBE).

```
Nd4YS4
1.0
5.325 0.000 2.135
2.617 6.318 1.182
0.310 -0.122 6.935
S Nd Y
4 4 1
Cartesian
2.171 3.817 2.293
6.081 2.379 7.959
4.394 1.198 4.457
3.858 4.998 5.795
1.707 1.228 3.450
3.429 2.442 6.864
6.544 4.969 6.802
4.823 3.754 3.388
0.000 0.000 0.000
```

Computed properties:
Total magnetic moment: 0.0 μB/f.u.
E: -6.4457 eV/atom

# 2
Entry from the Alexandria database: a relaxed ZnTc3N crystal (GGA-PBE).

```
ZnTc3N
1.0
-3.689 1.096 6.469
-7.278 1.916 -0.096
-5.221 -4.938 2.238
Zn Tc N
4 12 4
Cartesian
-7.507 1.265 4.262
-10.118 -1.204 5.382
-6.479 -2.161 5.430
-8.273 -1.752 2.147
-6.348 -3.379 3.049
-9.841 1.453 5.562
-5.775 -1.289 1.304
-10.772 -2.215 2.990
-7.598 0.787 1.630
-5.174 1.078 2.963
-5.417 0.289 5.620
-4.367 -1.610 3.879
-2.920 -2.040 1.342
-2.320 0.326 3.001
-3.727 0.648 0.426
-8.590 -2.713 6.981
-2.024 -0.241 1.076
-5.663 0.717 1.028
-3.868 0.307 4.311
-4.634 -2.710 2.196
```

Computed properties:
Offset from the most stable computed form: 0.326 eV per atom
Total magnetic moment: 0.0 μB/f.u.
E: -7.7906 eV/atom

The highest E belongs to which entry?
Nd4YS4